# CuMo5

An optimized crystal structure of CuMo5 (GGA-PBE, Alexandria via LeMat-Bulk).

Cell and atoms, written as POSCAR:
```
CuMo5
1.0
2.6417 0.0000 0.0000
0.0000 2.6417 0.0000
0.0000 0.0000 13.3449
Cu Mo
1 5
Cartesian
1.3208 1.3208 6.6725
0.0000 0.0000 8.6936
1.3208 1.3208 11.0194
0.0000 0.0000 0.0000
1.3208 1.3208 2.3256
0.0000 0.0000 4.6513
```

Values from the calculation:
* volume: 93 Å³/f.u.
* symmetry: No. 123
* E_form: 279 meV per atom
* spin magnetization: 0.00 μB per formula unit
* distance to the lowest polymorph of the same formula: 0.121 eV/atom